No. 1
LaHo3Th2As6 | PBE-GGA | optimized geometry Values from VASP.

Magnetic moment, μB/f.u.: 0.00
Energy of formation, eV per atom: -1.50
Calculated total energy, eV/atom: -6.614
Fermi-level density of states, states/eV/atom: 0.33
Theoretical density, Mg/m³: 8.20

```
&SYSTEM
  ibrav = 0, nat = 12, ntyp = 4
/
ATOMIC_SPECIES
La 138.91 La.upf
Ho 164.93 Ho.upf
Th 232.04 Th.upf
As 74.92 As.upf
ATOMIC_POSITIONS angstrom
La 2.103 0.000 0.000
Ho 2.103 4.183 0.165
Ho 2.103 -0.196 5.952
Ho 0.000 6.183 3.192
Th 2.103 3.999 6.105
Th 0.000 1.988 3.039
As 0.000 6.128 6.110
As 2.103 4.133 3.103
As 2.103 -0.141 3.034
As 2.103 -0.198 8.878
As 0.000 6.184 0.266
As 0.000 1.854 6.041
CELL_PARAMETERS angstrom
4.206 0.000 0.000
0.000 8.366 0.331
-2.103 -2.379 8.813
```

---

No. 2
Al2TcW | PBE-GGA | optimized geometry Values from VASP.

Magnetic moment, μB/f.u.: 0.00
Energy of formation, eV per atom: -0.22
Calculated total energy, eV/atom: -7.919
Energy relative to the lowest polymorph listed for this composition, eV per atom: 0.093
Fermi-level density of states, states/eV/atom: 0.43
Theoretical density, Mg/m³: 9.28

```
&SYSTEM
  ibrav = 0, nat = 8, ntyp = 3
/
ATOMIC_SPECIES
Tc 98.00 Tc.upf
W 183.84 W.upf
Al 26.98 Al.upf
ATOMIC_POSITIONS angstrom
Tc 2.188 0.000 2.333
Tc 3.122 2.236 4.371
W 1.677 0.000 5.012
W 1.106 2.236 0.299
Al 3.439 2.236 1.690
Al 4.380 0.000 3.772
Al 0.880 2.236 3.000
Al -0.151 0.000 1.085
CELL_PARAMETERS angstrom
5.077 0.000 0.000
0.000 4.471 0.000
-0.891 0.000 5.297
```